A relaxed UIn2I4Br2 crystal. Source: Alexandria via LeMat-Bulk, functional PBE.

Cell lengths 7.5304, 8.2574, 8.2574 Å; angles 61.47, 71.54, 71.54 degrees
Element x y z (fractional)
In1 0.7026 0.2684 0.2684
Br1 0.8123 0.8209 0.8209
I1 0.3131 0.1629 0.6629
I2 0.6869 0.8371 0.3371
I3 0.6869 0.3371 0.8371
I4 0.3131 0.6629 0.1629
Br2 0.1877 0.1791 0.1791
In2 0.2974 0.7316 0.7316
U1 0.5000 0.0000 0.0000

Values from the calculation:
Raw formation energy: -785 meV per atom
SG: C2/m, No. 12
Uncorrected energy: -3.708 eV/atom